[1]
Computed, not measured: Tb2HfZrP4 after structural relaxation at the PBE-GGA level of DFT.

Calculated values
The formation energy is -1465.1 meV per atom.

The structure in CIF format:
```
data_Tb2HfZrP4
_cell_length_a 6.6664
_cell_length_b 3.8445
_cell_length_c 6.7414
_cell_angle_alpha 90.00
_cell_angle_beta 109.29
_cell_angle_gamma 90.00
_space_group_name_H-M_alt 'P 1 2/m 1'
_space_group_IT_number 10
loop_
_space_group_symop_operation_xyz
'x,y,z'
'-x,-y,-z'
'-x,y,-z'
'x,-y,z'
loop_
_atom_site_label
_atom_site_fract_x
_atom_site_fract_y
_atom_site_fract_z
_atom_site_occupancy
Tb1 0.0000 0.0000 0.0000 1
Tb2 0.5000 0.5000 0.0000 1
Hf1 0.0000 0.5000 0.5000 1
Zr1 0.5000 0.0000 0.5000 1
P1 0.2415 0.0000 0.7314 1
P2 0.2534 0.5000 0.2669 1
```

***

[2]
Computed, not measured: SrTmZn2Au5 after structural relaxation at the PBE-GGA level of DFT.

Calculated values
The formation energy is -438.9 meV per atom.

The structure in CIF format:
```
data_SrTmZn2Au5
_cell_length_a 4.8784
_cell_length_b 4.8784
_cell_length_c 8.1386
_cell_angle_alpha 90.00
_cell_angle_beta 90.00
_cell_angle_gamma 90.00
_space_group_name_H-M_alt 'P 4/m m m'
_space_group_IT_number 123
_space_group_name_Hall '-P 4 2'
loop_
_atom_site_label
_atom_site_fract_x
_atom_site_fract_y
_atom_site_fract_z
_atom_site_occupancy
Sr1 0.0000 0.0000 0.0000 1
Tm1 0.0000 0.0000 0.5000 1
Zn1 0.5000 0.5000 0.3462 1
Au1 0.0000 0.5000 0.2639 1
Au2 0.5000 0.5000 0.0000 1
```

***

[3]
Computed, not measured: Tm8PPt3Se4 after structural relaxation at the PBE-GGA level of DFT.

Calculated values
As for the formation energy (no corrections): -1.50 eV/atom.

The structure in CIF format:
```
data_Tm8PPt3Se4
_cell_length_a 7.9311
_cell_length_b 7.9311
_cell_length_c 20.7608
_cell_angle_alpha 90.00
_cell_angle_beta 90.00
_cell_angle_gamma 120.00
_space_group_name_H-M_alt 'R -3 m'
_space_group_IT_number 166
_space_group_name_Hall '-R 3 2"'
loop_
_atom_site_label
_atom_site_fract_x
_atom_site_fract_y
_atom_site_fract_z
_atom_site_occupancy
Tm1 0.0000 0.0000 0.2433 1
Tm2 0.0027 0.5013 0.7559 1
P1 0.0000 0.0000 0.5000 1
Pt1 0.0000 0.5000 0.5000 1
Se1 0.0000 0.0000 0.0000 1
Se2 0.0000 0.5000 0.0000 1
```

***

[4]
Computed, not measured: KMg2Mo after structural relaxation at the PBE-GGA level of DFT.

Calculated values
As for the energy above the most stable polymorph in this dataset: 190 meV per atom. The formation energy is 725.2 meV per atom.

The structure in CIF format:
```
data_KMg2Mo
_cell_length_a 9.6119
_cell_length_b 2.8330
_cell_length_c 7.5892
_cell_angle_alpha 90.00
_cell_angle_beta 92.91
_cell_angle_gamma 90.00
_space_group_name_H-M_alt 'C 1 2/m 1'
_space_group_IT_number 12
loop_
_space_group_symop_operation_xyz
'x,y,z'
'-x,-y,-z'
'-x,y,-z'
'x,-y,z'
'x+1/2,y+1/2,z'
'-x+1/2,-y+1/2,-z'
'-x+1/2,y+1/2,-z'
'x+1/2,-y+1/2,z'
loop_
_atom_site_label
_atom_site_fract_x
_atom_site_fract_y
_atom_site_fract_z
_atom_site_occupancy
K1 0.0000 0.0000 0.0000 1
Mg1 0.2392 0.0000 0.6706 1
Mo1 0.0000 0.5000 0.5000 1
```

***

[5]
Computed, not measured: AcLaY after structural relaxation at the PBE-GGA level of DFT.

Calculated values
As for the energy above the most stable polymorph in this dataset: 38 meV per atom. The formation energy is 72.2 meV per atom.

The structure in CIF format:
```
data_AcLaY
_cell_length_a 5.9372
_cell_length_b 5.9372
_cell_length_c 7.4756
_cell_angle_alpha 90.00
_cell_angle_beta 90.00
_cell_angle_gamma 120.00
_space_group_name_H-M_alt 'P 63/m m c'
_space_group_IT_number 194
_space_group_name_Hall '-P 6c 2c'
loop_
_atom_site_label
_atom_site_fract_x
_atom_site_fract_y
_atom_site_fract_z
_atom_site_occupancy
Ac1 0.0000 0.0000 0.0000 1
La1 0.3333 0.6667 0.2500 1
Y1 0.3333 0.6667 0.7500 1
```

***

[6]
Computed, not measured: VTc2Ru after structural relaxation at the PBE-GGA level of DFT.

Calculated values
As for the energy above the most stable polymorph in this dataset: 547 meV per atom. The formation energy is 543.8 meV per atom.

The structure in CIF format:
```
data_VTc2Ru
_cell_length_a 3.5792
_cell_length_b 3.5792
_cell_length_c 19.1025
_cell_angle_alpha 90.00
_cell_angle_beta 90.00
_cell_angle_gamma 90.00
_space_group_name_H-M_alt 'I -4 2 d'
_space_group_IT_number 122
_space_group_name_Hall 'I -4 2bw'
loop_
_atom_site_label
_atom_site_fract_x
_atom_site_fract_y
_atom_site_fract_z
_atom_site_occupancy
V1 0.0000 0.0000 0.0000 1
Tc1 0.2310 0.2500 0.1250 1
Ru1 0.0000 0.0000 0.5000 1
```

***

[7]
Computed, not measured: Y5Pd2Pb after structural relaxation at the PBE-GGA level of DFT.

Calculated values
The formation energy is -640.5 meV per atom.

The structure in CIF format:
```
data_Y5Pd2Pb
_cell_length_a 7.8905
_cell_length_b 7.8905
_cell_length_c 13.5956
_cell_angle_alpha 90.00
_cell_angle_beta 90.00
_cell_angle_gamma 90.00
_space_group_name_H-M_alt 'I 4/m c m'
_space_group_IT_number 140
_space_group_name_Hall '-I 4 2c'
loop_
_atom_site_label
_atom_site_fract_x
_atom_site_fract_y
_atom_site_fract_z
_atom_site_occupancy
Y1 0.0000 0.0000 0.0000 1
Y2 0.1565 0.3435 0.1409 1
Pd1 0.1347 0.3653 0.5000 1
Pb1 0.0000 0.0000 0.2500 1
```

***

Here are the calculated total magnetic moment numbers, same order: 0.00 0.00 0.00 0.56 0.00 0.30 0.00 (μB per formula unit).
Here are the calculated DOS(E_F) numbers, same order: 3.8 4.4 8.8 3.7 5.1 6.4 8.5 (states/eV/f.u.).